Below is BaGa3I after structural relaxation, with properties calculated at the PBE level.

Computed properties:
Energy relative to the lowest polymorph listed for this composition: 470.3 meV per atom
Volume: 50.0 Å³ per atom

Cell and atoms, written as CIF:
```
data_BaGa3I
_cell_length_a 6.2980
_cell_length_b 6.2980
_cell_length_c 6.2980
_cell_angle_alpha 90.00
_cell_angle_beta 90.00
_cell_angle_gamma 90.00
_symmetry_space_group_name_H-M 'P m -3 m'
_symmetry_Int_Tables_number 221
_symmetry_space_group_name_Hall '-P 4 2 3'
loop_
_atom_site_label
_atom_site_type_symbol
_atom_site_fract_x
_atom_site_fract_y
_atom_site_fract_z
Ba1 Ba 0.0000 0.0000 0.0000
Ga1 Ga 0.0000 0.0000 0.5000
I1 I 0.5000 0.5000 0.5000
```

---

Below is CeCuPBr after structural relaxation, with properties calculated at the PBE level.

Computed properties:
Electronic total energy: -5.406 eV per atom
Volume: 24.4 Å³ per atom

Cell and atoms, written as CIF:
```
data_CeCuPBr
_cell_length_a 4.0571
_cell_length_b 4.0571
_cell_length_c 41.0534
_cell_angle_alpha 90.00
_cell_angle_beta 90.00
_cell_angle_gamma 120.00
_symmetry_space_group_name_H-M 'R -3 m'
_symmetry_Int_Tables_number 166
_symmetry_space_group_name_Hall '-R 3 2"'
loop_
_atom_site_label
_atom_site_type_symbol
_atom_site_fract_x
_atom_site_fract_y
_atom_site_fract_z
Ce1 Ce 0.0000 0.0000 0.0757
Cu1 Cu 0.0000 0.0000 0.3119
P1 P 0.0000 0.0000 0.3703
Br1 Br 0.0000 0.0000 0.2106
```

---

Below is SnBi3As after structural relaxation, with properties calculated at the PBE level.

Computed properties:
DFT formation energy: 0.510 eV/atom
Energy relative to the lowest polymorph listed for this composition: 0.0 meV per atom
Volume: 34.7 Å³ per atom

Cell and atoms, written as CIF:
```
data_SnBi3As
_cell_length_a 5.5773
_cell_length_b 5.5773
_cell_length_c 5.5773
_cell_angle_alpha 90.00
_cell_angle_beta 90.00
_cell_angle_gamma 90.00
_symmetry_space_group_name_H-M 'P m -3 m'
_symmetry_Int_Tables_number 221
_symmetry_space_group_name_Hall '-P 4 2 3'
loop_
_atom_site_label
_atom_site_type_symbol
_atom_site_fract_x
_atom_site_fract_y
_atom_site_fract_z
Sn1 Sn 0.0000 0.0000 0.0000
Bi1 Bi 0.0000 0.5000 0.5000
As1 As 0.5000 0.5000 0.5000
```